1.
PBE-GGA LiSmHo2Cd4, relaxed; E = -2.6982 eV/atom; ΔE_f = -267.1 meV per atom; total magnetization = 0.00 μB per formula unit
1.0
2.595 1.498 8.608
-2.595 1.498 8.608
0.000 -2.997 8.608
Li Sm Ho Cd
1 1 2 4
direct
0.000 0.000 0.000
0.500 0.500 0.500
0.252 0.252 0.252
0.748 0.748 0.748
0.117 0.117 0.117
0.373 0.373 0.373
0.627 0.627 0.627
0.883 0.883 0.883


2.
PBE-GGA Sr2In6AgIr, relaxed; E = -3.2385 eV/atom; ΔE_f = -87.9 meV per atom; total magnetization = 0.00 μB per formula unit
1.0
0.000 5.288 5.288
5.288 0.000 5.288
5.288 5.288 0.000
Sr In Ag Ir
2 6 1 1
direct
0.250 0.250 0.250
0.750 0.750 0.750
0.248 0.248 0.752
0.248 0.752 0.248
0.248 0.752 0.752
0.752 0.248 0.248
0.752 0.248 0.752
0.752 0.752 0.248
0.500 0.500 0.500
0.000 0.000 0.000


- What is the formula in the second record?
  Sr2In6AgIr